# 1
# La2TaSb

A geometry-optimized La2TaSb structure (PBE-GGA, Alexandria).

Properties
* DFT total energy: -25.9 eV/cell
* E_form (uncorrected): -0.014 eV per atom
* SG: No. 123

Lattice parameters (Å, degrees): 3.373 3.373 9.779 90.00 90.00 90.00
Sites, in units of the cell vectors:
1 La 0.000 0.000 0.238
2 La 0.000 0.000 0.762
3 Ta 0.500 0.500 0.000
4 Sb 0.500 0.500 0.500


# 2
# LaTa2Sb

A geometry-optimized LaTa2Sb structure (PBE-GGA, Alexandria).

Properties
* DFT total energy: -31.5 eV/cell
* E_form (uncorrected): 0.318 eV per atom
* SG: No. 119

Lattice parameters (Å, degrees): 5.244 5.244 5.244 126.23 126.23 79.51
Sites, in units of the cell vectors:
1 La 0.000 0.000 0.000
2 Ta 0.500 0.500 0.000
3 Ta 0.750 0.250 0.500
4 Sb 0.250 0.750 0.500


# 3
# LaTaSb4

A geometry-optimized LaTaSb4 structure (PBE-GGA, Alexandria).

Properties
* DFT total energy: -30.7 eV/cell
* E_form (uncorrected): 0.430 eV per atom
* SG: No. 216

Lattice parameters (Å, degrees): 6.168 6.168 6.168 60.00 60.00 60.00
Sites, in units of the cell vectors:
1 La 0.000 0.000 0.000
2 Ta 0.250 0.250 0.250
3 Sb 0.128 0.624 0.624
4 Sb 0.624 0.128 0.624
5 Sb 0.624 0.624 0.128
6 Sb 0.624 0.624 0.624


# 4
# La2TaSb

A geometry-optimized La2TaSb structure (PBE-GGA, Alexandria).

Properties
* DFT total energy: -25.6 eV/cell
* E_form (uncorrected): 0.046 eV per atom
* SG: No. 71

Lattice parameters (Å, degrees): 5.813 5.813 5.813 132.49 128.81 72.41
Sites, in units of the cell vectors:
1 La 0.237 0.237 0.000
2 La 0.763 0.763 0.000
3 Ta 0.000 0.500 0.500
4 Sb 0.500 0.000 0.500


# 5
# LaTa2Sb

A geometry-optimized LaTa2Sb structure (PBE-GGA, Alexandria).

Properties
* DFT total energy: -31.9 eV/cell
* E_form (uncorrected): 0.210 eV per atom
* SG: No. 160

Lattice parameters (Å, degrees): 9.823 9.823 9.823 19.83 19.83 19.83
Sites, in units of the cell vectors:
1 La 0.000 0.000 0.000
2 Ta 0.242 0.242 0.242
3 Ta 0.507 0.507 0.507
4 Sb 0.766 0.766 0.766


# 6
# LaTa2Sb

A geometry-optimized LaTa2Sb structure (PBE-GGA, Alexandria).

Properties
* DFT total energy: -32.1 eV/cell
* E_form (uncorrected): 0.163 eV per atom
* SG: No. 8

Lattice parameters (Å, degrees): 4.828 4.828 6.620 98.25 98.25 41.20
Sites, in units of the cell vectors:
1 La 0.000 0.000 0.000
2 Ta 0.508 0.508 0.474
3 Ta 0.773 0.773 0.322
4 Sb 0.245 0.245 0.679


- What is the DFT total energy in the fourth record?
  -25.6 eV/cell